# GGA-PBE PmGdThAg, optimized geometry
data_PmGdThAg
_space_group_name_H-M_alt 'F -4 3 m'
_space_group_IT_number 216
_space_group_name_Hall 'F -4 2 3'
_cell_length_a 7.677
_cell_length_b 7.677
_cell_length_c 7.677
_cell_angle_alpha 90.00
_cell_angle_beta 90.00
_cell_angle_gamma 90.00
loop_
_atom_site_label
_atom_site_type_symbol
_atom_site_fract_x
_atom_site_fract_y
_atom_site_fract_z
Pm1 Pm 0.000 0.000 0.000
Gd1 Gd 0.250 0.250 0.250
Th1 Th 0.250 0.250 0.750
Ag1 Ag 0.000 0.000 0.500
# Energy of formation from the pure elements (kJ per mole of atoms): 12.6
# DOS(E_F) (states/eV/atom): 1.486
# Crystal system: cubic

# GGA-PBE Fe2GeAsS, optimized geometry
data_Fe2GeAsS
_space_group_name_H-M_alt 'P 4/m m m'
_space_group_IT_number 123
_space_group_name_Hall '-P 4 2'
_cell_length_a 4.568
_cell_length_b 4.568
_cell_length_c 5.138
_cell_angle_alpha 90.00
_cell_angle_beta 90.00
_cell_angle_gamma 90.00
loop_
_atom_site_label
_atom_site_type_symbol
_atom_site_fract_x
_atom_site_fract_y
_atom_site_fract_z
Fe1 Fe 0.000 0.500 0.000
Ge1 Ge 0.000 0.000 0.500
As1 As 0.000 0.000 0.000
S1 S 0.500 0.500 0.500
# Raw total energy (eV/atom): -5.236
# DOS(E_F) (states/eV/atom): 1.302
# Crystal system: tetragonal

Question: Which of these has the lowest DOS(E_F)?
Answer: Fe2GeAsS